Here is a relaxed structure of MnTlPd2 from Alexandria. Energies are from GGA-PBE.

The spin magnetization comes out at 0.191 μB per formula unit. The density of states at the Fermi level comes out at 28.8 states/eV per cell. The formation energy is 0.6162 eV per atom. The volume comes out at 282.53 Å³/cell. As for the total DFT energy (no corrections): -4.864 eV per atom. For the energy above the most stable polymorph in this dataset, the calculation gives 759 meV/atom.

Unit cell a=3.9088 b=3.9088 c=18.4916 alpha=90.00 beta=90.00 gamma=90.00
Space group I-42d (No. 122)
Unique sites:
Mn (0.0000, 0.0000, 0.0000) (multiplicity 4)
Tl (0.0000, 0.0000, 0.5000) (multiplicity 4)
Pd (0.2347, 0.2500, 0.1250) (multiplicity 8)